[1]
VASP calculation (GGA-PBE) on an optimized crystal structure of RuSe2Cl.

The structure in CIF format:
```
data_RuSe2Cl
_chemical_formula_sum 'Ru1 Se2 Cl1'
_cell_length_a 2.910
_cell_length_b 2.910
_cell_length_c 10.717
_cell_angle_alpha 90.00
_cell_angle_beta 90.00
_cell_angle_gamma 117.21
_space_group_name_H-M_alt 'P 1'
_space_group_IT_number 1
loop_
_space_group_symop_operation_xyz
'x,y,z'
loop_
_atom_site_label
_atom_site_type_symbol
_atom_site_fract_x
_atom_site_fract_y
_atom_site_fract_z
Se1 Se 0.000 0.000 0.560
Se2 Se 0.000 0.000 0.940
Ru1 Ru 0.500 0.500 0.750
Cl1 Cl 0.500 0.500 0.250
```

Output
total magnetic moment	0.00	Bohr magnetons per cell
space group	No. 65
electronic total energy	-4.2149	eV/atom
N(E_F)	3.14	states/eV/cell
raw formation energy	308	meV/atom



[2]
VASP calculation (GGA-PBE) on an optimized crystal structure of RuSeCl2.

The structure in CIF format:
```
data_RuSeCl2
_chemical_formula_sum 'Ru1 Se1 Cl2'
_cell_length_a 10.614
_cell_length_b 10.614
_cell_length_c 10.614
_cell_angle_alpha 18.37
_cell_angle_beta 18.37
_cell_angle_gamma 18.37
_space_group_name_H-M_alt 'P 1'
_space_group_IT_number 1
loop_
_space_group_symop_operation_xyz
'x,y,z'
loop_
_atom_site_label
_atom_site_type_symbol
_atom_site_fract_x
_atom_site_fract_y
_atom_site_fract_z
Cl1 Cl 0.123 0.123 0.123
Ru1 Ru 0.500 0.500 0.500
Cl2 Cl 0.877 0.877 0.877
Se1 Se 0.000 0.000 0.000
```

Output
total magnetic moment	0.36	Bohr magnetons per cell
space group	No. 166
electronic total energy	-3.9266	eV/atom
N(E_F)	2.83	states/eV/cell
raw formation energy	187	meV/atom



[3]
VASP calculation (GGA-PBE) on an optimized crystal structure of Ru2SeCl.

The structure in CIF format:
```
data_Ru2SeCl
_chemical_formula_sum 'Ru2 Se1 Cl1'
_cell_length_a 7.794
_cell_length_b 7.794
_cell_length_c 7.794
_cell_angle_alpha 22.81
_cell_angle_beta 22.81
_cell_angle_gamma 22.81
_space_group_name_H-M_alt 'P 1'
_space_group_IT_number 1
loop_
_space_group_symop_operation_xyz
'x,y,z'
loop_
_atom_site_label
_atom_site_type_symbol
_atom_site_fract_x
_atom_site_fract_y
_atom_site_fract_z
Ru1 Ru 0.506 0.506 0.506
Ru2 Ru 0.994 0.994 0.994
Se1 Se 0.250 0.250 0.250
Cl1 Cl 0.750 0.750 0.750
```

Output
total magnetic moment	0.00	Bohr magnetons per cell
space group	No. 166
electronic total energy	-5.6184	eV/atom
N(E_F)	3.12	states/eV/cell
raw formation energy	352	meV/atom



[4]
VASP calculation (GGA-PBE) on an optimized crystal structure of RuSe2Cl.

The structure in CIF format:
```
data_RuSe2Cl
_chemical_formula_sum 'Ru1 Se2 Cl1'
_cell_length_a 4.595
_cell_length_b 4.593
_cell_length_c 4.592
_cell_angle_alpha 69.21
_cell_angle_beta 73.16
_cell_angle_gamma 110.82
_space_group_name_H-M_alt 'P 1'
_space_group_IT_number 1
loop_
_space_group_symop_operation_xyz
'x,y,z'
loop_
_atom_site_label
_atom_site_type_symbol
_atom_site_fract_x
_atom_site_fract_y
_atom_site_fract_z
Ru1 Ru 0.500 0.500 0.000
Cl1 Cl 0.000 0.500 0.500
Se1 Se 0.500 0.000 0.500
Se2 Se 0.000 0.000 0.000
```

Output
total magnetic moment	0.25	Bohr magnetons per cell
space group	No. 139
electronic total energy	-4.0410	eV/atom
N(E_F)	2.87	states/eV/cell
raw formation energy	482	meV/atom



[5]
VASP calculation (GGA-PBE) on an optimized crystal structure of RuSe2Cl.

The structure in CIF format:
```
data_RuSe2Cl
_chemical_formula_sum 'Ru1 Se2 Cl1'
_cell_length_a 12.084
_cell_length_b 12.084
_cell_length_c 12.084
_cell_angle_alpha 13.60
_cell_angle_beta 13.60
_cell_angle_gamma 13.60
_space_group_name_H-M_alt 'P 1'
_space_group_IT_number 1
loop_
_space_group_symop_operation_xyz
'x,y,z'
loop_
_atom_site_label
_atom_site_type_symbol
_atom_site_fract_x
_atom_site_fract_y
_atom_site_fract_z
Se1 Se 0.933 0.933 0.933
Ru1 Ru 0.000 0.000 0.000
Se2 Se 0.067 0.067 0.067
Cl1 Cl 0.500 0.500 0.500
```

Output
total magnetic moment	0.00	Bohr magnetons per cell
space group	No. 166
electronic total energy	-4.1448	eV/atom
N(E_F)	3.73	states/eV/cell
raw formation energy	378	meV/atom



[6]
VASP calculation (GGA-PBE) on an optimized crystal structure of RuSe2Cl.

The structure in CIF format:
```
data_RuSe2Cl
_chemical_formula_sum 'Ru1 Se2 Cl1'
_cell_length_a 3.379
_cell_length_b 5.647
_cell_length_c 6.088
_cell_angle_alpha 66.28
_cell_angle_beta 90.00
_cell_angle_gamma 90.00
_space_group_name_H-M_alt 'P 1'
_space_group_IT_number 1
loop_
_space_group_symop_operation_xyz
'x,y,z'
loop_
_atom_site_label
_atom_site_type_symbol
_atom_site_fract_x
_atom_site_fract_y
_atom_site_fract_z
Se1 Se 0.000 0.915 0.926
Cl1 Cl 0.000 0.613 0.568
Ru1 Ru 0.500 0.675 0.838
Se2 Se 0.500 0.297 0.168
```

Output
total magnetic moment	0.74	Bohr magnetons per cell
space group	No. 6
electronic total energy	-4.5678	eV/atom
N(E_F)	3.63	states/eV/cell
raw formation energy	-45	meV/atom



[7]
VASP calculation (GGA-PBE) on an optimized crystal structure of Ru2SeCl.

The structure in CIF format:
```
data_Ru2SeCl
_chemical_formula_sum 'Ru2 Se1 Cl1'
_cell_length_a 5.132
_cell_length_b 5.132
_cell_length_c 5.132
_cell_angle_alpha 146.34
_cell_angle_beta 113.38
_cell_angle_gamma 76.75
_space_group_name_H-M_alt 'P 1'
_space_group_IT_number 1
loop_
_space_group_symop_operation_xyz
'x,y,z'
loop_
_atom_site_label
_atom_site_type_symbol
_atom_site_fract_x
_atom_site_fract_y
_atom_site_fract_z
Ru1 Ru 0.984 0.984 0.000
Cl1 Cl 0.250 0.750 0.500
Se1 Se 0.750 0.250 0.500
Ru2 Ru 0.516 0.516 0.000
```

Output
total magnetic moment	0.00	Bohr magnetons per cell
space group	No. 71
electronic total energy	-5.3574	eV/atom
N(E_F)	3.92	states/eV/cell
raw formation energy	613	meV/atom



[8]
VASP calculation (GGA-PBE) on an optimized crystal structure of Ru2SeCl.

The structure in CIF format:
```
data_Ru2SeCl
_chemical_formula_sum 'Ru2 Se1 Cl1'
_cell_length_a 2.950
_cell_length_b 5.514
_cell_length_c 4.035
_cell_angle_alpha 90.00
_cell_angle_beta 90.00
_cell_angle_gamma 90.00
_space_group_name_H-M_alt 'P 1'
_space_group_IT_number 1
loop_
_space_group_symop_operation_xyz
'x,y,z'
loop_
_atom_site_label
_atom_site_type_symbol
_atom_site_fract_x
_atom_site_fract_y
_atom_site_fract_z
Se1 Se 0.500 0.000 0.500
Cl1 Cl 0.000 0.500 0.500
Ru1 Ru 0.000 0.000 0.000
Ru2 Ru 0.500 0.500 0.000
```

Output
total magnetic moment	0.00	Bohr magnetons per cell
space group	No. 47
electronic total energy	-5.2652	eV/atom
N(E_F)	6.00	states/eV/cell
raw formation energy	706	meV/atom



[9]
VASP calculation (GGA-PBE) on an optimized crystal structure of Ru2SeCl.

The structure in CIF format:
```
data_Ru2SeCl
_chemical_formula_sum 'Ru2 Se1 Cl1'
_cell_length_a 2.967
_cell_length_b 2.967
_cell_length_c 9.948
_cell_angle_alpha 90.00
_cell_angle_beta 90.00
_cell_angle_gamma 122.27
_space_group_name_H-M_alt 'P 1'
_space_group_IT_number 1
loop_
_space_group_symop_operation_xyz
'x,y,z'
loop_
_atom_site_label
_atom_site_type_symbol
_atom_site_fract_x
_atom_site_fract_y
_atom_site_fract_z
Ru1 Ru 0.500 0.500 0.237
Cl1 Cl 0.500 0.500 0.817
Ru2 Ru 0.000 0.000 0.007
Se1 Se 0.000 0.000 0.439
```

Output
total magnetic moment	0.00	Bohr magnetons per cell
space group	No. 35
electronic total energy	-5.5252	eV/atom
N(E_F)	5.09	states/eV/cell
raw formation energy	446	meV/atom



[10]
VASP calculation (GGA-PBE) on an optimized crystal structure of RuSe6Cl8.

The structure in CIF format:
```
data_RuSe6Cl8
_chemical_formula_sum 'Ru1 Se6 Cl8'
_cell_length_a 8.828
_cell_length_b 8.828
_cell_length_c 8.827
_cell_angle_alpha 69.41
_cell_angle_beta 69.41
_cell_angle_gamma 69.42
_space_group_name_H-M_alt 'P 1'
_space_group_IT_number 1
loop_
_space_group_symop_operation_xyz
'x,y,z'
loop_
_atom_site_label
_atom_site_type_symbol
_atom_site_fract_x
_atom_site_fract_y
_atom_site_fract_z
Se1 Se 0.633 0.975 0.479
Se2 Se 0.521 0.367 0.025
Cl1 Cl 0.215 0.135 0.851
Cl2 Cl 0.851 0.215 0.134
Cl3 Cl 0.243 0.243 0.243
Cl4 Cl 0.785 0.865 0.149
Se3 Se 0.479 0.633 0.975
Se4 Se 0.025 0.521 0.367
Cl5 Cl 0.757 0.757 0.757
Cl6 Cl 0.149 0.785 0.866
Cl7 Cl 0.134 0.851 0.215
Cl8 Cl 0.866 0.149 0.785
Se5 Se 0.367 0.025 0.521
Ru1 Ru 0.000 0.000 0.000
Se6 Se 0.975 0.479 0.633
```

Output
total magnetic moment	0.04	Bohr magnetons per cell
space group	No. 148
electronic total energy	-3.0936	eV/atom
N(E_F)	8.53	states/eV/cell
raw formation energy	-97	meV/atom



[11]
VASP calculation (GGA-PBE) on an optimized crystal structure of Ru2SeCl.

The structure in CIF format:
```
data_Ru2SeCl
_chemical_formula_sum 'Ru2 Se1 Cl1'
_cell_length_a 3.201
_cell_length_b 3.201
_cell_length_c 7.954
_cell_angle_alpha 90.00
_cell_angle_beta 90.00
_cell_angle_gamma 123.87
_space_group_name_H-M_alt 'P 1'
_space_group_IT_number 1
loop_
_space_group_symop_operation_xyz
'x,y,z'
loop_
_atom_site_label
_atom_site_type_symbol
_atom_site_fract_x
_atom_site_fract_y
_atom_site_fract_z
Ru1 Ru 0.000 0.000 0.483
Cl1 Cl 0.500 0.500 0.750
Se1 Se 0.500 0.500 0.250
Ru2 Ru 0.000 0.000 0.017
```

Output
total magnetic moment	0.00	Bohr magnetons per cell
space group	No. 65
electronic total energy	-5.3657	eV/atom
N(E_F)	3.92	states/eV/cell
raw formation energy	605	meV/atom



[12]
VASP calculation (GGA-PBE) on an optimized crystal structure of RuSeCl2.

The structure in CIF format:
```
data_RuSeCl2
_chemical_formula_sum 'Ru1 Se1 Cl2'
_cell_length_a 4.237
_cell_length_b 5.137
_cell_length_c 4.221
_cell_angle_alpha 67.17
_cell_angle_beta 86.81
_cell_angle_gamma 112.93
_space_group_name_H-M_alt 'P 1'
_space_group_IT_number 1
loop_
_space_group_symop_operation_xyz
'x,y,z'
loop_
_atom_site_label
_atom_site_type_symbol
_atom_site_fract_x
_atom_site_fract_y
_atom_site_fract_z
Cl1 Cl 0.000 0.000 0.000
Se1 Se 0.500 0.500 0.000
Ru1 Ru 0.000 0.500 0.500
Cl2 Cl 0.500 0.000 0.500
```

Output
total magnetic moment	1.06	Bohr magnetons per cell
space group	No. 12
electronic total energy	-3.5216	eV/atom
N(E_F)	4.43	states/eV/cell
raw formation energy	592	meV/atom



[13]
VASP calculation (GGA-PBE) on an optimized crystal structure of RuSeCl2.

The structure in CIF format:
```
data_RuSeCl2
_chemical_formula_sum 'Ru1 Se1 Cl2'
_cell_length_a 7.440
_cell_length_b 7.440
_cell_length_c 4.559
_cell_angle_alpha 72.78
_cell_angle_beta 72.78
_cell_angle_gamma 23.77
_space_group_name_H-M_alt 'P 1'
_space_group_IT_number 1
loop_
_space_group_symop_operation_xyz
'x,y,z'
loop_
_atom_site_label
_atom_site_type_symbol
_atom_site_fract_x
_atom_site_fract_y
_atom_site_fract_z
Se1 Se 0.250 0.250 0.250
Ru1 Ru 0.750 0.750 0.750
Cl1 Cl 0.113 0.113 0.882
Cl2 Cl 0.387 0.387 0.618
```

Output
total magnetic moment	0.35	Bohr magnetons per cell
space group	No. 12
electronic total energy	-4.0718	eV/atom
N(E_F)	2.41	states/eV/cell
raw formation energy	42	meV/atom



[14]
VASP calculation (GGA-PBE) on an optimized crystal structure of Ru2SeCl2.

The structure in CIF format:
```
data_Ru2SeCl2
_chemical_formula_sum 'Ru2 Se1 Cl2'
_cell_length_a 6.239
_cell_length_b 6.239
_cell_length_c 6.239
_cell_angle_alpha 142.17
_cell_angle_beta 142.17
_cell_angle_gamma 54.57
_space_group_name_H-M_alt 'P 1'
_space_group_IT_number 1
loop_
_space_group_symop_operation_xyz
'x,y,z'
loop_
_atom_site_label
_atom_site_type_symbol
_atom_site_fract_x
_atom_site_fract_y
_atom_site_fract_z
Ru1 Ru 0.602 0.602 0.000
Ru2 Ru 0.398 0.398 0.000
Se1 Se 0.000 0.000 0.000
Cl1 Cl 0.250 0.750 0.500
Cl2 Cl 0.750 0.250 0.500
```

Output
total magnetic moment	0.00	Bohr magnetons per cell
space group	No. 139
electronic total energy	-4.5056	eV/atom
N(E_F)	5.78	states/eV/cell
raw formation energy	640	meV/atom



[15]
VASP calculation (GGA-PBE) on an optimized crystal structure of RuSeCl2.

The structure in CIF format:
```
data_RuSeCl2
_chemical_formula_sum 'Ru1 Se1 Cl2'
_cell_length_a 3.009
_cell_length_b 3.009
_cell_length_c 11.073
_cell_angle_alpha 90.00
_cell_angle_beta 90.00
_cell_angle_gamma 90.00
_space_group_name_H-M_alt 'P 1'
_space_group_IT_number 1
loop_
_space_group_symop_operation_xyz
'x,y,z'
loop_
_atom_site_label
_atom_site_type_symbol
_atom_site_fract_x
_atom_site_fract_y
_atom_site_fract_z
Se1 Se 0.500 0.500 0.750
Ru1 Ru 0.500 0.500 0.250
Cl1 Cl 0.000 0.000 0.104
Cl2 Cl 0.000 0.000 0.396
```

Output
total magnetic moment	3.29	Bohr magnetons per cell
space group	No. 123
electronic total energy	-3.7051	eV/atom
N(E_F)	4.12	states/eV/cell
raw formation energy	408	meV/atom